A plane-wave DFT calculation with PBE-GGA was carried out for a relaxed structure of NaSrAl.

Results
The total energy comes out at -2.35 eV/atom. The polymorph energy (0 for the lowest one) is 0.000 eV per atom. The value obtained for the calculated formation energy is -0.101 eV per atom. The value obtained for the total moment is 0.0 μB per formula unit.

a = 4.4799 Å, b = 4.4744 Å, c = 13.7806 Å
α = 99.52°, β = 90.00°, γ = 120.04°
With the nearest neighbours (Å) after each atom.
Sites, in units of the cell vectors:
Na (0.5844, 0.1688, 0.6984)  3 Na 3.67, 2 Sr 4.10
Sr (0.8411, 0.6821, 0.4627)  6 Al 3.43-3.44
Na (0.3162, 0.6325, 0.8909)  3 Na 3.67, 1 Sr 4.10
Sr (0.7278, 0.4556, 0.1272)  6 Al 3.43-3.44
Al (0.4512, 0.9023, 0.2951)  3 Al 2.58-2.59
Al (0.1176, 0.2353, 0.2946)  3 Al 2.58-2.59

***

A plane-wave DFT calculation with PBE-GGA was carried out for a relaxed structure of MgSNF2.

Results
The total energy comes out at -3.94 eV/atom. The polymorph energy (0 for the lowest one) is 0.269 eV per atom. For the uncorrected formation energy, the calculation gives -378 meV per atom. The value obtained for the total moment is 0.0 μB per formula unit.

a = 4.6270 Å, b = 4.6270 Å, c = 3.3165 Å
α = 90.00°, β = 90.00°, γ = 90.00°
With the nearest neighbours (Å) after each atom.
Sites, in units of the cell vectors:
Mg (0.5000, 0.5000, 0.5000)  8 F 2.85
F (0.0000, 0.5000, 0.0000)  2 S 2.31
S (0.0000, 0.0000, 0.0000)  2 N 1.66
F (0.5000, 0.0000, 0.0000)  2 S 2.31
N (0.0000, 0.0000, 0.5000)  2 S 1.66

***

A plane-wave DFT calculation with PBE-GGA was carried out for a relaxed structure of HfAlH.

Results
The total energy comes out at -6.05 eV/atom. The polymorph energy (0 for the lowest one) is 0.000 eV per atom. The value obtained for the total moment is 0.0 μB per formula unit.

a = 4.6293 Å, b = 3.2382 Å, c = 3.2382 Å
α = 120.00°, β = 90.00°, γ = 90.00°
With the nearest neighbours (Å) after each atom.
Sites, in units of the cell vectors:
H (0.2437, 0.6667, 0.3333)  3 Hf 1.95
Hf (0.1229, 0.0000, 0.0000)  3 H 1.95
Al (0.6334, 0.3333, 0.6667)  3 H 2.60